Record 1
First-principles (GGA-PBEsol) data for a geometry-optimized Mn3Os structure, as listed in Alexandria.

Unit cell a=5.072 b=5.072 c=4.046 alpha=90.00 beta=90.00 gamma=120.00
Atoms (fractional coordinates):
Mn 0.162 0.325 0.250
Mn 0.162 0.838 0.250
Mn 0.325 0.162 0.750
Mn 0.675 0.838 0.250
Mn 0.838 0.162 0.750
Mn 0.838 0.675 0.750
Os 0.333 0.667 0.750
Os 0.667 0.333 0.250

Properties
For the calculated total energy, the calculation gives -83.03 eV for the cell shown. As for the symmetry: P6_3/mmc. The calculation puts the formation energy at -0.004 eV/atom.

Record 2
First-principles (GGA-PBEsol) data for a geometry-optimized Mn3Os structure, as listed in Alexandria.

Unit cell a=2.572 b=4.027 c=4.381 alpha=90.00 beta=90.00 gamma=90.00
Atoms (fractional coordinates):
Mn 0.000 0.000 0.000
Mn 0.000 0.500 0.326
Mn 0.500 0.000 0.476
Os 0.500 0.500 0.824

Properties
For the calculated total energy, the calculation gives -41.37 eV for the cell shown. As for the symmetry: Pmm2. The calculation puts the formation energy at 0.032 eV/atom.

Record 3
First-principles (GGA-PBEsol) data for a geometry-optimized Mn5Os3 structure, as listed in Alexandria.

Unit cell a=5.126 b=5.126 c=3.671 alpha=90.00 beta=90.00 gamma=91.15
Atoms (fractional coordinates):
Mn 0.000 0.000 0.000
Mn 0.000 0.500 0.000
Mn 0.248 0.248 0.500
Mn 0.500 0.000 0.000
Mn 0.752 0.752 0.500
Os 0.242 0.758 0.500
Os 0.500 0.500 0.000
Os 0.758 0.242 0.500

Properties
For the calculated total energy, the calculation gives -84.89 eV for the cell shown. As for the symmetry: Cmmm. The calculation puts the formation energy at 0.070 eV/atom.

Record 4
First-principles (GGA-PBEsol) data for a geometry-optimized Mn7Os6 structure, as listed in Alexandria.

Unit cell a=8.910 b=8.910 c=8.910 alpha=29.88 beta=29.88 gamma=29.88
Atoms (fractional coordinates):
Mn 0.000 0.000 0.000
Mn 0.093 0.093 0.586
Mn 0.093 0.586 0.093
Mn 0.414 0.907 0.907
Mn 0.586 0.093 0.093
Mn 0.907 0.414 0.907
Mn 0.907 0.907 0.414
Os 0.163 0.163 0.163
Os 0.348 0.348 0.348
Os 0.452 0.452 0.452
Os 0.548 0.548 0.548
Os 0.652 0.652 0.652
Os 0.837 0.837 0.837

Properties
For the calculated total energy, the calculation gives -141.36 eV for the cell shown. As for the symmetry: R-3m. The calculation puts the formation energy at 0.020 eV/atom.

Record 5
First-principles (GGA-PBEsol) data for a geometry-optimized MnOs structure, as listed in Alexandria.

Unit cell a=4.893 b=4.893 c=3.940 alpha=90.00 beta=90.00 gamma=148.75
Atoms (fractional coordinates):
Mn 0.057 0.943 0.750
Mn 0.943 0.057 0.250
Os 0.327 0.673 0.750
Os 0.673 0.327 0.250

Properties
For the calculated total energy, the calculation gives -43.92 eV for the cell shown. As for the symmetry: Cmcm. The calculation puts the formation energy at 0.008 eV/atom.

Record 6
First-principles (GGA-PBEsol) data for a geometry-optimized MnOs5 structure, as listed in Alexandria.

Unit cell a=4.260 b=7.129 c=7.129 alpha=21.91 beta=90.00 gamma=90.00
Atoms (fractional coordinates):
Mn 0.000 0.000 0.000
Os 0.000 0.336 0.336
Os 0.000 0.663 0.663
Os 0.500 0.221 0.221
Os 0.500 0.553 0.553
Os 0.500 0.892 0.892

Properties
For the calculated total energy, the calculation gives -70.84 eV for the cell shown. As for the symmetry: Amm2. The calculation puts the formation energy at 0.001 eV/atom.

Record 7
First-principles (GGA-PBEsol) data for a geometry-optimized Mn2Os structure, as listed in Alexandria.

Unit cell a=4.810 b=4.810 c=6.007 alpha=104.33 beta=104.33 gamma=31.42
Atoms (fractional coordinates):
Mn 0.029 0.029 0.291
Mn 0.368 0.368 0.971
Mn 0.632 0.632 0.029
Mn 0.971 0.971 0.709
Os 0.310 0.310 0.355
Os 0.690 0.690 0.645

Properties
For the calculated total energy, the calculation gives -63.31 eV for the cell shown. As for the symmetry: C2/m. The calculation puts the formation energy at 0.027 eV/atom.

Record 8
First-principles (GGA-PBEsol) data for a geometry-optimized Mn2Os structure, as listed in Alexandria.

Unit cell a=4.807 b=4.807 c=6.000 alpha=103.23 beta=103.23 gamma=31.44
Atoms (fractional coordinates):
Mn 0.000 0.000 0.000
Mn 0.058 0.058 0.612
Mn 0.338 0.338 0.671
Mn 0.668 0.668 0.347
Os 0.393 0.393 0.288
Os 0.718 0.718 0.939

Properties
For the calculated total energy, the calculation gives -63.26 eV for the cell shown. As for the symmetry: Cm. The calculation puts the formation energy at 0.037 eV/atom.

- Which formula does entry 7 have?
  Mn2Os